## MoIr2O (GGA+U)

Data for a relaxed structure of MoIr2O.

Structure (CIF):
```
data_MoIr2O
_cell_length_a 5.647
_cell_length_b 5.647
_cell_length_c 8.387
_cell_angle_alpha 90.00
_cell_angle_beta 90.00
_cell_angle_gamma 90.00
_symmetry_space_group_name_H-M 'I -4 2 d'
_symmetry_Int_Tables_number 122
_symmetry_space_group_name_Hall 'I -4 2bw'
loop_
_atom_site_label
_atom_site_fract_x
_atom_site_fract_y
_atom_site_fract_z
Mo1 0.000 0.000 0.000
Ir1 0.201 0.250 0.625
O1 0.000 0.000 0.500
```

Computed properties:
- final energy (eV for the cell shown) = -106.4
- Fermi-level density of states (states/eV/cell) = 0.000
- crystal system = tetragonal